Entry from Alexandria: Rb3Hg2PbBr9 after structural relaxation (PBE-GGA).

Calculated values
electronic total energy = -2.519 eV/atom
formation energy from raw total energies = -1.03 eV per atom
magnetization = 0.0 μB per formula unit
Fermi-level density of states = 0.035 states/eV per atom

abc: 8.0974 8.0974 10.0165
angles: 90.00 90.00 120.00
Fractional positions:
Rb1 0.0000 0.0000 0.0000
Rb2 0.3333 0.6667 0.6974
Rb3 0.6667 0.3333 0.3026
Hg1 0.3333 0.6667 0.1619
Hg2 0.6667 0.3333 0.8381
Pb1 0.0000 0.0000 0.5000
Br1 0.0000 0.5000 0.0000
Br2 0.1687 0.3375 0.3227
Br3 0.1687 0.8313 0.3227
Br4 0.3375 0.1687 0.6773
Br5 0.5000 0.0000 0.0000
Br6 0.5000 0.5000 0.0000
Br7 0.6625 0.8313 0.3227
Br8 0.8313 0.1687 0.6773
Br9 0.8313 0.6625 0.6773


Entry from Alexandria: Pu2NpGe2Rh2 after structural relaxation (PBE-GGA).

Calculated values
electronic total energy = -9.783 eV/atom
magnetization = 6.7 μB per formula unit
calculated formation energy = -0.420 eV per atom
Fermi-level density of states = 2.788 states/eV per atom

abc: 8.6207 8.6207 8.6207
angles: 29.72 29.72 29.72
Fractional positions:
Pu1 0.1356 0.1356 0.1356
Pu2 0.8644 0.8644 0.8644
Np1 0.0000 0.0000 0.0000
Ge1 0.2657 0.2657 0.2657
Ge2 0.7343 0.7343 0.7343
Rh1 0.4120 0.4120 0.4120
Rh2 0.5880 0.5880 0.5880


Entry from Alexandria: NdHoCdHg after structural relaxation (PBE-GGA).

Calculated values
electronic total energy = -3.025 eV/atom
magnetization = 0.7 μB per formula unit
calculated formation energy = -0.384 eV per atom
Fermi-level density of states = 1.011 states/eV per atom

abc: 7.5661 7.5661 7.5661
angles: 90.00 90.00 90.00
Fractional positions:
Nd1 0.0000 0.0000 0.0000
Nd2 0.0000 0.5000 0.5000
Nd3 0.5000 0.0000 0.5000
Nd4 0.5000 0.5000 0.0000
Ho1 0.0000 0.0000 0.5000
Ho2 0.0000 0.5000 0.0000
Ho3 0.5000 0.0000 0.0000
Ho4 0.5000 0.5000 0.5000
Cd1 0.2500 0.2500 0.7500
Cd2 0.2500 0.7500 0.2500
Cd3 0.7500 0.2500 0.2500
Cd4 0.7500 0.7500 0.7500
Hg1 0.2500 0.2500 0.2500
Hg2 0.2500 0.7500 0.7500
Hg3 0.7500 0.2500 0.7500
Hg4 0.7500 0.7500 0.2500


Entry from Alexandria: Ca2CdCu after structural relaxation (PBE-GGA).

Calculated values
electronic total energy = -2.312 eV/atom
magnetization = 0.0 μB per formula unit
calculated formation energy = -0.058 eV per atom
Fermi-level density of states = 0.320 states/eV per atom

abc: 7.0562 4.0830 8.4841
angles: 90.00 106.25 90.00
Fractional positions:
Ca1 0.2371 0.0000 0.2109
Ca2 0.2629 0.5000 0.7891
Ca3 0.7371 0.5000 0.2109
Ca4 0.7629 0.0000 0.7891
Cd1 0.0000 0.0000 0.5000
Cd2 0.5000 0.5000 0.5000
Cu1 0.0000 0.5000 0.0000
Cu2 0.5000 0.0000 0.0000


Entry from Alexandria: CaAgC3 after structural relaxation (PBE-GGA).

Calculated values
electronic total energy = -3.156 eV/atom
magnetization = 0.0 μB per formula unit
calculated formation energy = 3.349 eV per atom
E above lowest polymorph = 0.897 eV/atom
Fermi-level density of states = 0.713 states/eV per atom

abc: 4.4635 4.4635 4.4635
angles: 90.00 90.00 90.00
Fractional positions:
Ca1 0.0000 0.0000 0.0000
Ag1 0.5000 0.5000 0.5000
C1 0.0000 0.0000 0.5000
C2 0.0000 0.5000 0.0000
C3 0.5000 0.0000 0.0000


Entry from Alexandria: PrSmRhAu after structural relaxation (PBE-GGA).

Calculated values
electronic total energy = -5.792 eV/atom
magnetization = 0.0 μB per formula unit
calculated formation energy = -0.760 eV per atom
E above lowest polymorph = 0.000 eV/atom
Fermi-level density of states = 0.620 states/eV per atom

abc: 4.6379 3.9463 10.7577
angles: 90.00 90.00 90.00
Fractional positions:
Pr1 0.0000 0.0000 0.0000
Pr2 0.0000 0.5000 0.5000
Sm1 0.5000 0.0000 0.7201
Sm2 0.5000 0.5000 0.2201
Rh1 0.0000 0.0000 0.2638
Rh2 0.0000 0.5000 0.7638
Au1 0.5000 0.0000 0.4367
Au2 0.5000 0.5000 0.9367